Nd3Y2Pt2 | PBE-GGA | optimized geometry

a b c (Å): 3.863 6.536 8.874
angles (deg): 101.21 102.58 107.17
Atoms (fractional coordinates):
1 Pt 0.056 0.880 0.233
2 Nd 0.820 0.206 0.434
3 Nd 0.180 0.794 0.566
4 Nd 0.500 0.000 0.000
5 Pt 0.944 0.120 0.767
6 Y 0.352 0.520 0.186
7 Y 0.648 0.480 0.814

Computed properties:
Formation enthalpy at 0 K   -0.70 eV/atom
Symmetry   C2/m, No. 12

=====

Ca5Au4 | PBE-GGA | optimized geometry

a b c (Å): 8.113 7.765 8.102
angles (deg): 70.49 90.00 90.00
Atoms (fractional coordinates):
1 Ca 0.322 0.066 0.309
2 Ca 0.331 0.253 0.744
3 Au 0.034 0.147 0.581
4 Ca 0.822 0.434 0.691
5 Ca 0.831 0.247 0.256
6 Au 0.534 0.353 0.419
7 Ca 0.500 0.500 0.000
8 Au 0.466 0.647 0.581
9 Ca 0.178 0.566 0.309
10 Ca 0.169 0.753 0.744
11 Au 0.966 0.853 0.419
12 Ca 0.000 0.000 0.000
13 Au 0.633 0.131 0.986
14 Ca 0.678 0.934 0.691
15 Ca 0.669 0.747 0.256
16 Au 0.367 0.869 0.014
17 Au 0.867 0.631 0.986
18 Au 0.133 0.369 0.014

Computed properties:
Formation enthalpy at 0 K   -0.76 eV/atom
Symmetry   P2_1/c, No. 14

=====

NiS2Cl8 | PBE-GGA | optimized geometry

a b c (Å): 6.496 7.947 7.947
angles (deg): 61.89 94.39 94.39
Each line ends with the local moment (μB).
Atoms (fractional coordinates):
1 Cl 0.661 0.408 0.408  0.07
2 S 0.712 0.264 0.264  0.20
3 Cl 0.574 0.805 0.805  0.05
4 Cl 0.111 0.719 0.093  0.12
5 Ni 0.000 0.000 0.000  0.54
6 Cl 0.111 0.093 0.719  0.12
7 Cl 0.889 0.281 0.907  0.12
8 Cl 0.889 0.907 0.281  0.12
9 Cl 0.339 0.592 0.592  0.07
10 Cl 0.426 0.195 0.195  0.05
11 S 0.288 0.736 0.736  0.20

Computed properties:
Symmetry   C2/m, No. 12
Offset from the most stable computed form   0.0 kJ/mol of atoms

=====

CsRe3Si | PBE-GGA | optimized geometry

a b c (Å): 4.707 4.707 4.707
angles (deg): 90.00 90.00 90.00
Each line ends with the local moment (μB).
Atoms (fractional coordinates):
1 Si 0.000 0.000 0.000  -0.04
2 Cs 0.500 0.500 0.500  0.17
3 Re 0.000 0.500 0.000  1.16
4 Re 0.500 0.000 0.000  1.06
5 Re 0.000 0.000 0.500  1.02

Computed properties:
Symmetry   Pm-3m, No. 221
Offset from the most stable computed form   0.0 kJ/mol of atoms

=====

LaEuZnNi | PBE-GGA | optimized geometry

a b c (Å): 5.144 5.144 5.144
angles (deg): 60.00 60.00 60.00
Each line ends with the local moment (μB).
Atoms (fractional coordinates):
1 Zn 0.750 0.750 0.750  0.01
2 La 0.500 0.500 0.500  0.03
3 Ni 0.250 0.250 0.250  -0.08
4 Eu 0.000 0.000 0.000  6.80

Computed properties:
Formation enthalpy at 0 K   -0.20 eV/atom
Symmetry   F-43m, No. 216

=====

Ac2Ga6TcNi | PBE-GGA | optimized geometry

a b c (Å): 6.599 6.881 6.642
angles (deg): 60.62 60.20 90.00
Atoms (fractional coordinates):
1 Ga 0.743 0.804 0.938
2 Ga 0.681 0.196 0.062
3 Ga 0.319 0.804 0.938
4 Ga 0.257 0.196 0.062
5 Ni 0.500 0.500 0.000
6 Ac 0.221 0.661 0.558
7 Tc 0.000 0.000 0.000
8 Ga 0.743 0.804 0.514
9 Ac 0.779 0.339 0.442
10 Ga 0.257 0.196 0.486

Computed properties:
Formation enthalpy at 0 K   -0.41 eV/atom
Symmetry   C2/m, No. 12

=====

Li5SnPd4 | PBE-GGA | optimized geometry

a b c (Å): 4.405 5.392 6.797
angles (deg): 104.16 108.91 90.00
Atoms (fractional coordinates):
1 Sn 0.500 0.000 0.000
2 Li 0.500 0.500 0.000
3 Pd 0.102 0.883 0.204
4 Pd 0.705 0.304 0.409
5 Li 0.104 0.383 0.208
6 Li 0.896 0.617 0.792
7 Pd 0.295 0.696 0.591
8 Li 0.706 0.803 0.412
9 Pd 0.898 0.117 0.796
10 Li 0.294 0.197 0.588

Computed properties:
Formation enthalpy at 0 K   -0.48 eV/atom
Symmetry   C2/m, No. 12

=====

NaPt | PBE-GGA | optimized geometry

a b c (Å): 8.825 8.825 8.825
angles (deg): 90.00 90.00 90.00
Each line ends with the local moment (μB).
Atoms (fractional coordinates):
1 Na 0.297 0.703 0.297  0.01
2 Na 0.797 0.797 0.203  0.01
3 Pt 0.394 0.606 0.606  0.72
4 Na 0.203 0.203 0.203  0.01
5 Pt 0.394 0.394 0.394  0.72
6 Na 0.797 0.203 0.797  0.01
7 Pt 0.894 0.106 0.106  0.72
8 Na 0.703 0.297 0.297  0.01
9 Na 0.703 0.703 0.703  0.01
10 Na 0.297 0.297 0.703  0.01
11 Pt 0.106 0.894 0.106  0.72
12 Pt 0.894 0.894 0.894  0.72
13 Pt 0.106 0.106 0.894  0.72
14 Pt 0.606 0.394 0.606  0.72
15 Na 0.203 0.797 0.797  0.01
16 Pt 0.606 0.606 0.394  0.72

Computed properties:
Formation enthalpy at 0 K   0.56 eV/atom
Symmetry   I-43m, No. 217

=====

SrLaRh | PBE-GGA | optimized geometry

a b c (Å): 4.219 4.216 14.003
angles (deg): 81.37 89.99 59.99
Atoms (fractional coordinates):
1 Sr 0.569 0.734 0.852
2 Sr 0.144 0.583 0.581
3 La 0.733 0.406 0.347
4 Rh 0.432 0.008 0.445
5 La 0.980 0.912 0.086
6 Rh 0.281 0.310 0.988

Computed properties:
Formation enthalpy at 0 K   -0.45 eV/atom
Symmetry   C2/m, No. 12
Offset from the most stable computed form   0.0 kJ/mol of atoms

=====

K2AuO2 | PBE-GGA | optimized geometry

a b c (Å): 5.504 6.456 7.461
angles (deg): 109.44 90.15 109.89
Atoms (fractional coordinates):
1 K 0.365 0.041 0.690
2 Au 0.812 0.507 0.952
3 K 0.421 0.888 0.142
4 Au 0.155 0.472 0.636
5 O 0.052 0.980 0.379
6 O 0.046 0.728 0.822
7 K 0.721 0.584 0.429
8 K 0.058 0.167 0.096
9 O 0.265 0.222 0.443
10 O 0.595 0.279 0.069

Computed properties:
Symmetry   P1, No. 1
Raw total energy   -3.937 eV/atom

=====

Yb2Fe12P7 | PBE-GGA | optimized geometry

a b c (Å): 8.963 8.963 3.611
angles (deg): 90.00 90.00 120.00
Each line ends with the local moment (μB).
Atoms (fractional coordinates):
1 Fe 0.781 0.903 0.500  1.24
2 Fe 0.273 0.118 0.000  -0.01
3 Fe 0.097 0.878 0.500  1.24
4 P 0.591 0.707 0.000  -0.02
5 Yb 0.333 0.667 0.500  0.14
6 Fe 0.845 0.727 0.000  -0.01
7 Fe 0.572 0.948 0.000  0.27
8 Fe 0.954 0.386 0.500  0.63
9 P 0.116 0.409 0.000  -0.02
10 Fe 0.122 0.219 0.500  1.24
11 P 0.712 0.114 0.500  -0.03
12 Fe 0.614 0.568 0.500  0.63
13 P 0.401 0.288 0.500  -0.03
14 P 0.886 0.599 0.500  -0.03
15 Fe 0.882 0.155 0.000  -0.01
16 Fe 0.376 0.428 0.000  0.27
17 P 0.293 0.884 0.000  -0.02
18 Fe 0.432 0.046 0.500  0.63
19 Fe 0.052 0.624 0.000  0.27
20 Yb 0.667 0.333 0.000  0.11
21 P 0.000 0.000 0.000  -0.02

Computed properties:
Formation enthalpy at 0 K   -0.64 eV/atom
Symmetry   P-6, No. 174

=====

NbAlBiSe2 | PBE-GGA | optimized geometry

a b c (Å): 4.933 5.915 4.933
angles (deg): 90.00 90.00 90.00
Atoms (fractional coordinates):
1 Bi 0.000 0.500 0.000
2 Se 0.500 0.000 0.000
3 Nb 0.000 0.000 0.000
4 Al 0.500 0.500 0.500
5 Se 0.000 0.000 0.500

Computed properties:
Symmetry   P4/mmm, No. 123
Raw total energy   -4.831 eV/atom

=====

Results for spin magnetization: 0.00 0.00 2.01 3.97 7.04 0.00 0.00 8.07 0.00 0.00 6.25 0.00 (in Bohr magnetons per cell, following the order of the records).